[1]
ScCo2P after structural relaxation. Source: Alexandria, functional PBE.

Calculated values
The calculation puts the calculated formation energy at -176 meV/atom. Its spin magnetization is 1.7 μB/cell. As for the crystal system: monoclinic. The density of states at the Fermi level is 4.798 states/eV/f.u. As for the space group: C2/m, No. 12. The calculated volume is 53 Å³ per cell.

Cell lengths 4.8618, 4.8618, 2.8827 Å; angles 73.43, 73.43, 113.78 degrees
Closest atoms and distances in Å follow each position.
Atoms (fractional coordinates):
Sc: 0.5000 0.5000 0.5000  4 Co 2.45, 4 P 2.66-2.71
Co: 0.0000 0.5000 0.0000  2 Sc 2.45, 2 P 2.45, 4 Co 2.66-2.71
Co: 0.5000 0.0000 0.0000  2 Sc 2.45, 2 P 2.45, 4 Co 2.66-2.71
P: 0.0000 0.0000 0.5000  4 Co 2.45, 4 Sc 2.66-2.71



[2]
ScCoP2 after structural relaxation. Source: Alexandria, functional PBE.

Calculated values
The calculation puts the calculated formation energy at -758 meV/atom. Its spin magnetization is 0.0 μB/cell. As for the crystal system: orthorhombic. The density of states at the Fermi level is 2.430 states/eV/f.u. Its distance to the lowest polymorph of the same formula is 82 meV per atom. As for the space group: Pmmm, No. 47. The calculated volume is 61 Å³ per cell.

Cell lengths 3.6392, 3.5047, 4.7562 Å; angles 89.97, 90.00, 90.00 degrees
Closest atoms and distances in Å follow each position.
Atoms (fractional coordinates):
Co: 0.5000 0.7500 0.7500  4 P 2.19
P: 0.0000 0.7503 0.0080  2 Co 2.19, 2 P 2.30-2.45
P: 0.0000 0.7497 0.4920  2 Co 2.19, 2 P 2.30-2.45
Sc: 0.5000 0.2500 0.2500  8 P 2.78, 4 Co 2.95



[3]
ScCo3P2 after structural relaxation. Source: Alexandria, functional PBE.

Calculated values
The calculation puts the calculated formation energy at -123 meV/atom. Its spin magnetization is 8.0 μB/cell. As for the crystal system: hexagonal. The density of states at the Fermi level is 5.580 states/eV/f.u. Its distance to the lowest polymorph of the same formula is 795 meV per atom. As for the space group: P6_3/mmc, No. 194. The calculated volume is 201 Å³ per cell.

Cell lengths 4.7056, 4.7056, 10.5002 Å; angles 90.00, 90.00, 120.05 degrees
Closest atoms and distances in Å follow each position.
Atoms (fractional coordinates):
Sc: 0.0000 0.0000 0.0000  6 P 2.86, 6 Co 2.93
Sc: 0.0000 0.0000 0.5000  6 P 2.86, 6 Co 2.93
P: 0.3331 0.6669 0.9149  3 Co 2.23-2.24
P: 0.6669 0.3331 0.4149  3 Co 2.23-2.24
P: 0.6669 0.3331 0.0851  3 Co 2.23-2.24
P: 0.3331 0.6669 0.5851  3 Co 2.23-2.24
Co: 0.6804 0.8400 0.7500  2 P 2.24, 4 Co 2.25-2.45
Co: 0.1600 0.3196 0.7500  2 P 2.24, 4 Co 2.25-2.45
Co: 0.1598 0.8402 0.7500  2 P 2.23, 4 Co 2.26-2.45
Co: 0.3196 0.1600 0.2500  2 P 2.24, 4 Co 2.25-2.45
Co: 0.8400 0.6804 0.2500  2 P 2.24, 4 Co 2.25-2.45
Co: 0.8402 0.1598 0.2500  2 P 2.23, 4 Co 2.26-2.45



[4]
ScCo3P2 after structural relaxation. Source: Alexandria, functional PBE.

Calculated values
The calculation puts the calculated formation energy at -917 meV/atom. Its spin magnetization is 0.0 μB/cell. As for the crystal system: monoclinic. The density of states at the Fermi level is 3.196 states/eV/f.u. Its distance to the lowest polymorph of the same formula is 0 meV per atom. As for the space group: C2/m, No. 12. The calculated volume is 222 Å³ per cell.

Cell lengths 3.5674, 7.5261, 8.9112 Å; angles 106.96, 90.00, 103.71 degrees
Closest atoms and distances in Å follow each position.
Atoms (fractional coordinates):
Sc: 0.1553 0.3105 0.6950  6 P 2.73-2.86, 7 Co 2.82-3.00
Sc: 0.8447 0.6895 0.3050  6 P 2.73-2.86, 7 Co 2.82-3.00
Sc: 0.0000 0.0000 0.0000  6 P 2.77-2.82, 6 Co 2.78-2.83
Co: 0.0420 0.0840 0.3309  4 P 2.21-2.34, 1 Co 2.46
Co: 0.9580 0.9160 0.6691  4 P 2.21-2.34, 1 Co 2.46
Co: 0.2173 0.4346 0.3926  4 P 2.13-2.28
Co: 0.7827 0.5654 0.6074  4 P 2.13-2.28
Co: 0.6219 0.2437 0.2057  4 P 2.17-2.39
Co: 0.3781 0.7563 0.7943  4 P 2.17-2.39
Co: 0.5000 0.0000 0.5000  4 P 2.18-2.40
Co: 0.3211 0.6422 0.0355  4 P 2.20-2.29
Co: 0.6789 0.3578 0.9645  4 P 2.20-2.29
P: 0.1973 0.3945 0.1324  6 Co 2.23-2.29
P: 0.8027 0.6055 0.8676  6 Co 2.23-2.29
P: 0.4610 0.9219 0.2180  5 Co 2.20-2.40
P: 0.5390 0.0781 0.7820  5 Co 2.20-2.40
P: 0.3609 0.7217 0.5435  7 Co 2.13-2.34
P: 0.6391 0.2783 0.4565  7 Co 2.13-2.34